{"formula": "CaMoAs3", "functional": "PBE", "state": "optimized geometry", "magmom_total_mub_per_fu": 0.66, "dos_ef_per_ev_atom": 1.116, "ef_ev_per_atom": 1.60, "e_above_lowest_polymorph_mev_per_atom": 1718, "mass_density_g_cm3": 4.41, "lattice": [[-3.6620, -2.8641, -2.1934], [3.5867, -2.5554, -2.6515], [0.3870, -3.4193, 3.8189]], "species": ["As", "As", "Ca", "Mo", "As"], "fractional_positions": [[0.5000, 0.0000, 0.0000], [0.0000, 0.0000, 0.5000], [0.0000, 0.0000, 0.0000], [0.5000, 0.5000, 0.5000], [0.0000, 0.5000, 0.0000]]}